A PBEsol-optimized structure of FeNi2Br, computed with meta-GGA SCAN.

Unit cell a=3.0769 b=3.0769 c=5.7055 alpha=90.00 beta=90.00 gamma=90.00
Fractional coordinates of all 4 atoms:
Fe: 0.0000 0.0000 0.0000
Ni: 0.5000 0.5000 0.2097
Ni: 0.5000 0.5000 0.7903
Br: 0.0000 0.0000 0.5000

Results
DOS(E_F)   0.8 states/eV per cell
Uncorrected formation energy   0.31 eV/atom
Total energy   -68.68 eV per cell
Volume   13.5 Å³/atom
Relative energy among the computed polymorphs   0.086 eV per atom